[1]
{"formula": "Cs2Sn2Sb2Au", "functional": "PBE-GGA", "state": "optimized geometry", "vol_a3_per_fu": 292, "dos_ef_per_ev_cell": 1.8, "lattice_angstrom": [[5.130, 0.000, 0.000], [2.558, 7.684, 0.000], [2.564, 2.613, 7.399]], "species": ["Cs", "Cs", "Sn", "Sn", "Sb", "Sb", "Au"], "fractional_positions": [[0.055, 0.211, 0.178], [0.945, 0.789, 0.822], [0.302, 0.315, 0.581], [0.698, 0.685, 0.419], [0.311, 0.632, 0.246], [0.689, 0.368, 0.754], [0.500, 0.000, 0.500]]}


[2]
{"formula": "CsSn2SbAu", "functional": "PBE-GGA", "state": "optimized geometry", "vol_a3_per_fu": 194, "dos_ef_per_ev_cell": 5.6, "lattice_angstrom": [[5.953, 0.000, 0.000], [0.000, 5.953, 0.000], [0.000, 0.000, 5.485]], "species": ["Cs", "Sn", "Sn", "Sb", "Au"], "fractional_positions": [[0.000, 0.000, 0.000], [0.000, 0.500, 0.500], [0.500, 0.000, 0.500], [0.500, 0.500, 0.500], [0.500, 0.500, 0.000]]}


[3]
{"formula": "Cs2Sn4SbAu3", "functional": "PBE-GGA", "state": "optimized geometry", "vol_a3_per_fu": 301, "dos_ef_per_ev_cell": 4.2, "lattice_angstrom": [[5.042, 0.000, 0.000], [0.000, 5.042, 0.000], [0.000, 0.000, 11.836]], "species": ["Cs", "Cs", "Sn", "Sn", "Sn", "Sn", "Sb", "Au", "Au", "Au"], "fractional_positions": [[0.000, 0.500, 0.250], [0.500, 0.000, 0.750], [0.000, 0.000, 0.000], [0.000, 0.500, 0.637], [0.500, 0.000, 0.363], [0.500, 0.500, 0.000], [0.000, 0.000, 0.500], [0.000, 0.500, 0.883], [0.500, 0.000, 0.117], [0.500, 0.500, 0.500]]}


[4]
{"formula": "CsTbSb2Au2", "functional": "PBE-GGA", "state": "optimized geometry", "vol_a3_per_fu": 188, "dos_ef_per_ev_cell": 1.7, "lattice_angstrom": [[4.693, 0.000, 0.000], [-2.347, 4.064, 0.000], [0.000, 0.000, 9.875]], "species": ["Cs", "Tb", "Sb", "Sb", "Au", "Au"], "fractional_positions": [[0.000, 0.000, 0.000], [0.000, 0.000, 0.500], [0.333, 0.667, 0.711], [0.667, 0.333, 0.289], [0.333, 0.667, 0.340], [0.667, 0.333, 0.660]]}


[5]
{"formula": "CsSbTe2Au", "functional": "PBE-GGA", "state": "optimized geometry", "vol_a3_per_fu": 210, "e_above_lowest_polymorph_mev_per_atom": 0.0, "dos_ef_per_ev_cell": 6.2, "lattice_angstrom": [[4.189, -8.743, 0.000], [4.189, 8.743, 0.000], [0.000, 0.000, 5.721]], "species": ["Cs", "Cs", "Sb", "Sb", "Te", "Te", "Te", "Te", "Au", "Au"], "fractional_positions": [[0.250, 0.750, 0.792], [0.750, 0.250, 0.208], [0.250, 0.250, 0.500], [0.750, 0.750, 0.500], [0.113, 0.887, 0.303], [0.387, 0.613, 0.303], [0.613, 0.387, 0.697], [0.887, 0.113, 0.697], [0.000, 0.000, 0.000], [0.500, 0.500, 0.000]]}


[6]
{"formula": "CsSbTe2Au", "functional": "PBE-GGA", "state": "optimized geometry", "vol_a3_per_fu": 180, "e_above_lowest_polymorph_mev_per_atom": 195.8, "dos_ef_per_ev_cell": 3.4, "lattice_angstrom": [[5.805, 0.000, 0.000], [0.000, 5.805, 0.000], [0.000, 0.000, 5.356]], "species": ["Cs", "Sb", "Te", "Te", "Au"], "fractional_positions": [[0.000, 0.000, 0.000], [0.500, 0.500, 0.000], [0.000, 0.500, 0.500], [0.500, 0.000, 0.500], [0.500, 0.500, 0.500]]}


[7]
{"formula": "Cs2TlSb2Au6", "functional": "PBE-GGA", "state": "optimized geometry", "vol_a3_per_fu": 367, "dos_ef_per_ev_cell": 4.3, "lattice_angstrom": [[6.192, -3.813, 0.000], [6.192, 3.813, 0.000], [-3.016, 0.000, 7.773]], "species": ["Cs", "Cs", "Tl", "Sb", "Sb", "Au", "Au", "Au", "Au", "Au", "Au"], "fractional_positions": [[0.232, 0.232, 0.212], [0.768, 0.768, 0.788], [0.500, 0.500, 0.000], [0.058, 0.058, 0.685], [0.942, 0.942, 0.315], [0.274, 0.274, 0.690], [0.283, 0.640, 0.652], [0.360, 0.717, 0.348], [0.640, 0.283, 0.652], [0.717, 0.360, 0.348], [0.726, 0.726, 0.310]]}


[8]
{"formula": "CsTlSbAu2", "functional": "PBE-GGA", "state": "optimized geometry", "vol_a3_per_fu": 182, "dos_ef_per_ev_cell": 2.3, "lattice_angstrom": [[5.423, 0.000, 0.000], [0.000, 5.423, 0.000], [0.000, 0.000, 6.206]], "species": ["Cs", "Tl", "Sb", "Au", "Au"], "fractional_positions": [[0.000, 0.000, 0.000], [0.500, 0.500, 0.000], [0.500, 0.500, 0.500], [0.000, 0.500, 0.500], [0.500, 0.000, 0.500]]}


[9]
{"formula": "Cs2TlSb2Au", "functional": "PBE-GGA", "state": "optimized geometry", "vol_a3_per_fu": 241, "dos_ef_per_ev_cell": 6.2, "lattice_angstrom": [[-3.839, 8.195, 3.834], [3.839, -8.195, 3.834], [3.839, 8.195, -3.834]], "species": ["Cs", "Cs", "Cs", "Cs", "Tl", "Tl", "Sb", "Sb", "Sb", "Sb", "Au", "Au"], "fractional_positions": [[0.168, 0.247, 0.415], [0.332, 0.747, 0.080], [0.668, 0.253, 0.920], [0.832, 0.753, 0.585], [0.250, 0.250, 0.000], [0.750, 0.750, 0.000], [0.078, 0.710, 0.789], [0.422, 0.210, 0.632], [0.578, 0.790, 0.368], [0.922, 0.290, 0.211], [0.250, 0.750, 0.500], [0.750, 0.250, 0.500]]}


[10]
{"formula": "CsTl2Sb2Au7", "functional": "PBE-GGA", "state": "optimized geometry", "vol_a3_per_fu": 358, "dos_ef_per_ev_cell": 1.5, "lattice_angstrom": [[5.388, -3.539, 0.000], [5.388, 3.539, 0.000], [-2.621, 0.000, 9.399]], "species": ["Cs", "Tl", "Tl", "Sb", "Sb", "Au", "Au", "Au", "Au", "Au", "Au", "Au"], "fractional_positions": [[0.000, 0.000, 0.000], [0.127, 0.127, 0.418], [0.873, 0.873, 0.582], [0.290, 0.290, 0.785], [0.710, 0.710, 0.215], [0.154, 0.546, 0.304], [0.415, 0.415, 0.584], [0.454, 0.846, 0.696], [0.500, 0.500, 0.000], [0.546, 0.154, 0.304], [0.585, 0.585, 0.416], [0.846, 0.454, 0.696]]}


[11]
{"formula": "CsTmSb2Au2", "functional": "PBE-GGA", "state": "optimized geometry", "vol_a3_per_fu": 186, "dos_ef_per_ev_cell": 1.7, "lattice_angstrom": [[4.674, 0.000, 0.000], [-2.337, 4.048, 0.000], [0.000, 0.000, 9.805]], "species": ["Cs", "Tm", "Sb", "Sb", "Au", "Au"], "fractional_positions": [[0.000, 0.000, 0.000], [0.000, 0.000, 0.500], [0.333, 0.667, 0.710], [0.667, 0.333, 0.290], [0.333, 0.667, 0.349], [0.667, 0.333, 0.651]]}


[12]
{"formula": "Cs2VSbAu", "functional": "PBE-GGA", "state": "optimized geometry", "vol_a3_per_fu": 243, "e_above_lowest_polymorph_mev_per_atom": 0.0, "dos_ef_per_ev_cell": 5.7, "lattice_angstrom": [[6.760, 0.000, 0.000], [0.000, 6.760, 0.000], [0.000, 0.000, 5.319]], "species": ["Cs", "Cs", "V", "Sb", "Au"], "fractional_positions": [[0.000, 0.500, 0.000], [0.500, 0.000, 0.000], [0.000, 0.000, 0.500], [0.500, 0.500, 0.500], [0.500, 0.500, 0.000]]}


Computed values of formation energy without anion corrections (unit: eV/atom) for the preceding records, in sequence: -0.33, 0.25, -0.22, -0.71, -0.25, -0.06, -0.21, -0.02, -0.29, -0.13, -0.68, 0.64.